(1)
Here is an optimized crystal structure of CuNi2 from Alexandria via LeMat-Bulk. Energies are from PBE.

Unit cell a=2.5089 b=2.5089 c=10.6551 alpha=90.00 beta=90.00 gamma=90.00
With the nearest neighbours (Å) after each atom.
Space group I4/mmm (No. 139)
Asymmetric unit:
Cu 0.0000 0.0000 0.0000 (multiplicity 2)  4 Cu 2.51, 8 Ni 2.54
Ni 0.0000 0.0000 0.3298 (multiplicity 4)  8 Ni 2.46-2.51, 4 Cu 2.54

E_tot in eV per cell: -31.132
Energy of formation from the pure elements in eV per atom: 0.03

(2)
Here is an optimized crystal structure of HgMoOs2 from Alexandria via LeMat-Bulk. Energies are from PBE.

Unit cell a=5.6845 b=7.8313 c=2.8737 alpha=90.00 beta=90.00 gamma=90.00
With the nearest neighbours (Å) after each atom.
Space group Cmmm (No. 65)
Asymmetric unit:
Hg 0.0000 0.0000 0.0000 (multiplicity 2)  8 Os 2.81, 2 Mo 2.84, 2 Hg 2.87
Mo 0.0000 0.5000 0.0000 (multiplicity 2)  8 Os 2.81, 2 Hg 2.84, 2 Mo 2.87
Os 0.2500 0.2500 0.5000 (multiplicity 4)  4 Hg 2.81, 4 Mo 2.81, 4 Os 2.84-2.87

E_tot in eV per cell: -61.219
Energy of formation from the pure elements in eV per atom: 0.75

(3)
Here is an optimized crystal structure of BaBi2S from Alexandria via LeMat-Bulk. Energies are from PBE.

Unit cell a=9.7414 b=9.7414 c=6.0515 alpha=90.00 beta=90.00 gamma=90.00
With the nearest neighbours (Å) after each atom.
Space group I-42d (No. 122)
Asymmetric unit:
Ba 0.0000 0.0000 0.0000 (multiplicity 4)  2 S 3.03
Bi 0.1742 0.7500 0.6250 (multiplicity 8)  2 S 3.06, 2 Bi 3.37
S 0.0000 0.0000 0.5000 (multiplicity 4)  2 Ba 3.03, 4 Bi 3.06

Formation energy without anion corrections in eV per formula unit: -1.64
E_tot in eV per cell: -61.818

(4)
Here is an optimized crystal structure of Rb4CaU3O12 from Alexandria via LeMat-Bulk. Energies are from PBE.

Unit cell a=8.7514 b=8.7514 c=8.7514 alpha=90.00 beta=90.00 gamma=90.00
With the nearest neighbours (Å) after each atom.
Space group Im-3m (No. 229)
Asymmetric unit:
Rb 0.2500 0.2500 0.2500 (multiplicity 8)  12 O 3.09-3.10
Ca 0.0000 0.0000 0.0000 (multiplicity 2)  6 O 2.41
U 0.0000 0.0000 0.5000 (multiplicity 6)  6 O 1.97-2.19
O 0.0000 0.0000 0.2753 (multiplicity 12)  1 U 1.97
O 0.0000 0.2500 0.5000 (multiplicity 12)  2 U 2.19

Formation energy without anion corrections in eV per formula unit: -56.69
E_tot in eV per cell: -311.854

(5)
Here is an optimized crystal structure of TcAuBr from Alexandria via LeMat-Bulk. Energies are from PBE.

Unit cell a=6.2937 b=6.2937 c=6.2937 alpha=90.00 beta=90.00 gamma=90.00
With the nearest neighbours (Å) after each atom.
Space group F-43m (No. 216)
Asymmetric unit:
Tc 0.0000 0.0000 0.0000 (multiplicity 4)  4 Br 2.73, 4 Au 2.73
Au 0.2500 0.2500 0.7500 (multiplicity 4)  4 Tc 2.73
Br 0.2500 0.2500 0.2500 (multiplicity 4)  4 Tc 2.73

Formation energy without anion corrections in eV per formula unit: 2.56
E_tot in eV per cell: -51.009

(6)
Here is an optimized crystal structure of Ti4Tc3Os from Alexandria via LeMat-Bulk. Energies are from PBE.

Unit cell a=3.1005 b=4.3841 c=8.7735 alpha=90.00 beta=90.00 gamma=90.00
With the nearest neighbours (Å) after each atom.
Space group Pmmm (No. 47)
Asymmetric unit:
Ti 0.0000 0.0000 0.0000 (multiplicity 1)  4 Tc 2.68, 4 Os 2.68
Ti 0.0000 0.0000 0.5000 (multiplicity 1)  8 Tc 2.68-2.69
Ti 0.0000 0.5000 0.2500 (multiplicity 2)  6 Tc 2.68-2.69, 2 Os 2.69
Tc 0.5000 0.0000 0.2491 (multiplicity 2)  8 Ti 2.68-2.69
Tc 0.5000 0.5000 0.5000 (multiplicity 1)  8 Ti 2.68-2.69
Os 0.5000 0.5000 0.0000 (multiplicity 1)  8 Ti 2.68-2.69

E_tot in eV per cell: -78.379
Energy of formation from the pure elements in eV per atom: -0.56

(7)
Here is an optimized crystal structure of Nb2Zn3Ga from Alexandria via LeMat-Bulk. Energies are from PBE.

Unit cell a=5.0249 b=5.0249 c=12.5677 alpha=90.00 beta=90.00 gamma=120.00
With the nearest neighbours (Å) after each atom.
Space group R-3m (No. 166, hexagonal axes)
Asymmetric unit:
Nb 0.0000 0.0000 0.1276 (multiplicity 6)  3 Ga 2.94, 9 Zn 2.96-2.98, 4 Nb 3.06-3.21
Zn 0.0000 0.5000 0.0000 (multiplicity 9)  4 Zn 2.51, 2 Ga 2.55
Ga 0.0000 0.0000 0.5000 (multiplicity 3)  6 Zn 2.55

E_tot in eV per cell: -85.029
Energy of formation from the pure elements in eV per atom: -0.23

(8)
Here is an optimized crystal structure of PmPr5Mg4 from Alexandria via LeMat-Bulk. Energies are from PBE.

Unit cell a=3.8588 b=3.8588 c=20.9277 alpha=90.00 beta=90.00 gamma=90.00
With the nearest neighbours (Å) after each atom.
Space group P4/mmm (No. 123)
Asymmetric unit:
Pm 0.0000 0.0000 0.0000 (multiplicity 1)  8 Pr 3.70, 4 Pm 3.86
Pr 0.5000 0.5000 0.1196 (multiplicity 2)  4 Mg 3.38, 4 Pm 3.70
Pr 0.5000 0.5000 0.3109 (multiplicity 2)  8 Mg 3.37-3.38
Pr 0.5000 0.5000 0.5000 (multiplicity 1)  8 Mg 3.37
Mg 0.0000 0.0000 0.2153 (multiplicity 2)  8 Pr 3.38
Mg 0.0000 0.0000 0.4052 (multiplicity 2)  8 Pr 3.37

E_tot in eV per cell: -35.852
Energy of formation from the pure elements in eV per atom: -0.08

(9)
Here is an optimized crystal structure of Sc3TePS from Alexandria via LeMat-Bulk. Energies are from PBE.

Unit cell a=6.3966 b=13.5202 c=6.3723 alpha=90.00 beta=104.94 gamma=90.00
With the nearest neighbours (Å) after each atom.
Space group C2/c (No. 15)
Asymmetric unit:
Sc 0.0000 0.2501 0.2500 (multiplicity 4)  1 P 2.51, 1 S 2.54
Sc 0.2459 0.0617 0.9985 (multiplicity 8)  2 P 2.52-2.57, 2 S 2.54-2.58
Te 0.0000 0.2509 0.7500 (multiplicity 4)  8 Sc 3.19-3.21
P 0.0000 0.0647 0.2500 (multiplicity 4)  5 Sc 2.51-2.57
S 0.0000 0.4380 0.2500 (multiplicity 4)  5 Sc 2.54-2.58

Formation energy without anion corrections in eV per formula unit: -8.17
E_tot in eV per cell: -159.387

(10)
Here is an optimized crystal structure of Rb2SrCdSb2 from Alexandria via LeMat-Bulk. Energies are from PBE.

Unit cell a=7.5308 b=16.9453 c=7.6774 alpha=90.00 beta=90.00 gamma=90.00
With the nearest neighbours (Å) after each atom.
Space group Ibam (No. 72)
Asymmetric unit:
Rb 0.2232 0.1781 0.0000 (multiplicity 8)  2 Sb 3.63-3.81, 2 Cd 3.95
Sr 0.0000 0.5000 0.2500 (multiplicity 4)  4 Sb 3.28
Cd 0.0000 0.0000 0.2500 (multiplicity 4)  4 Sb 3.05
Sb 0.2244 0.0981 0.5000 (multiplicity 8)  2 Cd 3.05, 2 Sr 3.28

Formation energy without anion corrections in eV per formula unit: -3.49
E_tot in eV per cell: -65.051

(11)
Here is an optimized crystal structure of Ba3Tl2Pb2 from Alexandria via LeMat-Bulk. Energies are from PBE.

Unit cell a=12.5832 b=5.4463 c=8.4361 alpha=90.00 beta=106.18 gamma=90.00
With the nearest neighbours (Å) after each atom.
Space group C2/m (No. 12)
Asymmetric unit:
Ba 0.0000 0.0000 0.0000 (multiplicity 2)  4 Tl 3.56, 4 Pb 3.74
Ba 0.1552 0.0000 0.6200 (multiplicity 4)  1 Tl 3.46, 5 Pb 3.67-3.84, 1 Ba 3.87
Tl 0.1775 0.5000 0.9774 (multiplicity 4)  1 Pb 3.17, 2 Tl 3.24, 1 Ba 3.46
Pb 0.0440 0.5000 0.3164 (multiplicity 4)  1 Tl 3.17

E_tot in eV per cell: -42.234
Energy of formation from the pure elements in eV per atom: -0.46

(12)
Here is an optimized crystal structure of Ba3LiSn2S6 from Alexandria via LeMat-Bulk. Energies are from PBE.

Unit cell a=7.3216 b=7.3216 c=7.6844 alpha=90.00 beta=90.00 gamma=120.00
With the nearest neighbours (Å) after each atom.
Space group P-3m1 (No. 164)
Asymmetric unit:
Ba 0.0000 0.0000 0.0000 (multiplicity 1)  6 S 3.14
Ba 0.3333 0.6667 0.6191 (multiplicity 2)  3 S 3.23
Li 0.0000 0.0000 0.5000 (multiplicity 1)  6 S 2.62
Sn 0.3333 0.6667 0.1309 (multiplicity 2)  3 S 2.47
S 0.1675 0.3349 0.3006 (multiplicity 6)  1 Sn 2.47, 1 Li 2.62

Formation energy without anion corrections in eV per formula unit: -15.02
E_tot in eV per cell: -55.469

Total magnetization values, unit μB/cell, following the record order: 1.70; 0.00; 0.00; 0.00; 3.93; 0.00; 0.00; 0.00; 0.00; 0.00; 0.00; 0.00.